1.
Below is a geometry-optimized AcMnBeO4 structure, with properties calculated at the GGA+U level.

Calculated values
- Theoretical density: 7.14 Mg/m³
- Uncorrected energy: -51.92 eV per formula unit

Cell lengths 4.5733, 5.5103, 6.7815 Å; angles 90.00, 105.04, 90.00 degrees
Space group P2_1/m (No. 11)
Asymmetric unit:
1 Ac 0.2408 0.2500 0.3842
2 Mn 0.3956 0.7500 0.0036
3 Be 0.0939 0.2500 0.8022
4 O 0.0591 0.2500 0.0253
5 O 0.1691 0.7500 0.4027
6 O 0.3600 0.0171 0.7942


2.
Below is a geometry-optimized Ac3MnBe2O8 structure, with properties calculated at the GGA+U level.

Calculated values
- Theoretical density: 8.36 Mg/m³
- Uncorrected energy: -104.84 eV per formula unit

Cell lengths 5.4115, 5.4115, 6.9078 Å; angles 90.00, 90.00, 120.00 degrees
Space group P-3m1 (No. 164)
Asymmetric unit:
1 Ac 0.0000 0.0000 0.0000
2 Ac 0.3333 0.6667 0.6620
3 Mn 0.0000 0.0000 0.5000
4 Be 0.3333 0.6667 0.2231
5 O 0.1681 0.3362 0.3214
6 O 0.3333 0.6667 0.9972